Entry 1:
Density functional theory data (GGA-PBE) for a relaxed structure of K2YSc.

## Properties
Polymorph energy (0 for the lowest one) in eV per formula unit: 0.00
Energy of formation from the pure elements in meV per atom: 324.4
Fermi-level density of states in states/eV per cell: 5.15
Spin magnetization in Bohr magnetons per cell: 0.97
DFT total energy in eV per atom: -3.42

Cell and atoms, written as extended XYZ:
```
4
Lattice="3.693 0.000 0.000 0.000 3.693 0.000 -0.032 0.000 12.522" Properties=species:S:1:pos:R:3 pbc="T T T"
K 0.000 0.000 0.000
K 1.814 1.847 4.037
Y 1.815 1.847 9.196
Sc 3.662 0.000 7.140
```

***

Entry 2:
Density functional theory data (GGA-PBE) for a relaxed structure of K2YSc.

## Properties
Polymorph energy (0 for the lowest one) in eV per formula unit: 1.79
Energy of formation from the pure elements in meV per atom: 772.7
Fermi-level density of states in states/eV per cell: 20.58
Spin magnetization in Bohr magnetons per cell: 4.64
DFT total energy in eV per atom: -2.97

Cell and atoms, written as extended XYZ:
```
8
Lattice="6.153 0.000 0.000 0.000 6.153 0.000 0.000 0.000 8.738" Properties=species:S:1:pos:R:3 pbc="T T T"
K 0.000 0.000 0.000
K 0.000 3.077 2.185
K 3.077 0.000 6.554
K 3.077 3.077 4.369
Y 0.000 0.000 4.369
Y 3.077 3.077 0.000
Sc 0.000 3.077 6.554
Sc 3.077 0.000 2.185
```

***

Repeat the second record exactly.
Density functional theory data (GGA-PBE) for a relaxed structure of K2YSc.

## Properties
Polymorph energy (0 for the lowest one) in eV per formula unit: 1.79
Energy of formation from the pure elements in meV per atom: 772.7
Fermi-level density of states in states/eV per cell: 20.58
Spin magnetization in Bohr magnetons per cell: 4.64
DFT total energy in eV per atom: -2.97

Cell and atoms, written as extended XYZ:
```
8
Lattice="6.153 0.000 0.000 0.000 6.153 0.000 0.000 0.000 8.738" Properties=species:S:1:pos:R:3 pbc="T T T"
K 0.000 0.000 0.000
K 0.000 3.077 2.185
K 3.077 0.000 6.554
K 3.077 3.077 4.369
Y 0.000 0.000 4.369
Y 3.077 3.077 0.000
Sc 0.000 3.077 6.554
Sc 3.077 0.000 2.185
```